A plane-wave DFT calculation with GGA+U was carried out for crystalline LiVF4 at its relaxed geometry.

Results
DOS(E_F) = 0.00 states/eV/cell
SG = No. 109
Excess energy over the best structure of this formula in the dataset = 17 meV/atom

Unit cell a=5.6348 b=5.6348 c=5.6348 alpha=107.70 beta=107.70 gamma=113.07
Each line ends with the local moment (μB).
Sites, in units of the cell vectors:
Li1 0.5127 0.5127 0.0000  0.00
Li2 0.7627 0.2627 0.5000  0.00
V1 0.9875 0.9875 0.0000  1.91
V2 0.2375 0.7375 0.5000  1.91
F1 0.2875 0.9878 0.2997  -0.01
F2 0.6881 0.9878 0.7003  -0.01
F3 0.2114 0.5121 0.6994  0.01
F4 0.7621 0.9614 0.1994  0.01
F5 0.2378 0.4381 0.2003  -0.01
F6 0.2378 0.0375 0.7997  -0.01
F7 0.7621 0.5627 0.8006  0.01
F8 0.8127 0.5121 0.3006  0.01